#one
This record from Alexandria describes a geometry-optimized LiTlHg4 structure. The functional is PBE.

The total moment comes out at 0.000 μB/cell.

The structure belongs to space group F-43m (No. 216); the cell edges are 8.623, 8.623 and 8.623 Å and the angles 90.00°, 90.00° and 90.00°. The distinct sites, in fractional coordinates, are Li at (0.000, 0.000, 0.000), Tl at (0.250, 0.250, 0.750) and Hg at (0.125, 0.125, 0.375).


#two
This record from Alexandria describes a geometry-optimized LiTlHg4 structure. The functional is PBE.

The total moment comes out at 0.000 μB/cell.

The structure belongs to space group P4/mmm (No. 123); the cell edges are 3.397, 3.397 and 12.725 Å and the angles 90.00°, 90.00° and 90.00°. The distinct sites, in fractional coordinates, are Li at (0.000, 0.000, 0.000), Tl at (0.500, 0.500, 0.500), Hg at (0.000, 0.000, 0.305) and Hg at (0.500, 0.500, 0.131).


#three
This record from Alexandria describes a geometry-optimized LiTlHg4 structure. The functional is PBE.

The total moment comes out at 0.000 μB/cell.

The structure belongs to space group P4/mmm (No. 123); the cell edges are 4.617, 4.617 and 7.718 Å and the angles 90.00°, 90.00° and 90.00°. The distinct sites, in fractional coordinates, are Li at (0.000, 0.000, 0.000), Tl at (0.500, 0.500, 0.500) and Hg at (0.000, 0.500, 0.210).


Most stable pick: #two. Distance to second place: 55 meV/atom.


#one
This record from Alexandria describes a geometry-optimized Li3TlHg3 structure. The functional is PBE.

The total moment comes out at 0.000 μB/cell.

The structure belongs to space group Pm-3n (No. 223); the cell edges are 7.269, 7.269 and 7.269 Å and the angles 90.00°, 90.00° and 90.00°. The distinct sites, in fractional coordinates, are Li at (0.000, 0.250, 0.500), Tl at (0.000, 0.000, 0.000) and Hg at (0.000, 0.500, 0.250).


#two
This record from Alexandria describes a geometry-optimized Li3TlHg3 structure. The functional is PBE.

The total moment comes out at 0.000 μB/cell.

The structure belongs to space group Cmmm (No. 65); the cell edges are 9.237, 9.761 and 6.529 Å and the angles 90.00°, 90.00° and 90.00°. The distinct sites, in fractional coordinates, are Li at (0.000, 0.000, 0.246), Li at (0.250, 0.250, 0.249), Tl at (0.197, 0.500, 0.500), Hg at (0.000, 0.234, 0.500), Hg at (0.000, 0.256, 0.000) and Hg at (0.222, 0.500, 0.000).


Most stable pick: #two. Distance to second place: 288 meV/atom.


#one
This record from Alexandria describes a geometry-optimized LiTl4Hg5 structure. The functional is PBE.

The total moment comes out at 0.000 μB/cell.

The structure belongs to space group I4 (No. 79); the cell edges are 9.698, 9.698 and 5.934 Å and the angles 90.00°, 90.00° and 90.00°. The distinct sites, in fractional coordinates, are Li at (0.000, 0.000, 0.000), Tl at (0.038, 0.326, 0.729), Hg at (0.000, 0.000, 0.550) and Hg at (0.139, 0.215, 0.219).


#two
This record from Alexandria describes a geometry-optimized LiTl4Hg5 structure. The functional is PBE.

The total moment comes out at 0.000 μB/cell.

The structure belongs to space group P4/mmm (No. 123); the cell edges are 3.702, 3.702 and 19.636 Å and the angles 90.00°, 90.00° and 90.00°. The distinct sites, in fractional coordinates, are Li at (0.000, 0.000, 0.000), Tl at (0.000, 0.000, 0.180), Tl at (0.000, 0.000, 0.393), Hg at (0.500, 0.500, 0.077), Hg at (0.500, 0.500, 0.284) and Hg at (0.500, 0.500, 0.500).


Most stable pick: #two. Distance to second place: 28 meV/atom.


#one
This record from Alexandria describes a geometry-optimized Li7Tl2Hg structure. The functional is PBE.

The total moment comes out at 0.000 μB/cell.

The structure belongs to space group P3m1 (No. 156); the cell edges are 4.6901, 4.6901 and 10.0936 Å and the angles 90.00°, 90.00° and 120.00°. The distinct sites, in fractional coordinates, are Li at (0.0000, 0.0000, 0.0000), Li at (0.0000, 0.0000, 0.2384), Li at (0.0000, 0.0000, 0.4768), Li at (0.3333, 0.6667, 0.0470), Li at (0.3333, 0.6667, 0.6543), Li at (0.6667, 0.3333, 0.5089), Li at (0.6667, 0.3333, 0.8579), Tl at (0.0000, 0.0000, 0.7381), Tl at (0.3333, 0.6667, 0.3496) and Hg at (0.6667, 0.3333, 0.1524).


#two
This record from Alexandria describes a geometry-optimized Li7Tl2Hg structure. The functional is PBE.

The total moment comes out at 0.000 μB/cell.

The structure belongs to space group Fm-3m (No. 225); the cell edges are 9.789, 9.789 and 9.789 Å and the angles 90.00°, 90.00° and 90.00°. The distinct sites, in fractional coordinates, are Li at (0.000, 0.000, 0.000), Li at (0.000, 0.000, 0.246), Tl at (0.250, 0.250, 0.250) and Hg at (0.000, 0.000, 0.500).


Most stable pick: #one. Distance to second place: 259 meV/atom.